# 1
A relaxed structure of Li2Pm2O5, computed with PBE.

## Properties
Total moment ... 0.222 μB/atom

Unit cell a=3.7444 b=3.7444 c=7.0701 alpha=90.00 beta=90.00 gamma=90.00
Space group P4/mmm (No. 123)
Inequivalent atoms, fractional coordinates:
Li 0.0000 0.0000 0.2465 x2
Pm 0.5000 0.5000 0.0000 x1
Pm 0.5000 0.5000 0.5000 x1
O 0.0000 0.0000 0.5000 x1
O 0.0000 0.5000 0.2154 x4

***

# 2
A relaxed structure of PmScSb, computed with PBE.

## Properties
Total moment ... 0.156 μB/atom

Unit cell a=7.0767 b=7.0767 c=7.0767 alpha=90.00 beta=90.00 gamma=90.00
Space group F-43m (No. 216)
Inequivalent atoms, fractional coordinates:
Pm 0.0000 0.0000 0.0000 x4
Sc 0.0000 0.0000 0.5000 x4
Sb 0.2500 0.2500 0.2500 x4

***

# 3
A relaxed structure of Cs2LiPdF6, computed with PBE.

Unit cell a=8.2920 b=8.2920 c=8.2920 alpha=90.00 beta=90.00 gamma=90.00
Space group Fm-3m (No. 225)
Inequivalent atoms, fractional coordinates:
Cs 0.2500 0.2500 0.2500 x8
Li 0.0000 0.0000 0.0000 x4
Pd 0.0000 0.0000 0.5000 x4
F 0.0000 0.0000 0.2515 x24

***

V across the listed records, respectively: 99, 354, 570 Å³ per cell.
Distance to the lowest polymorph of the same formula across the listed records, respectively: 0.0, 0.0, 0.0 kJ per mole of atoms.
Energy across the listed records, respectively: -58.14, -16.79, -41.50 eV per formula unit.